1.
ErSi2: relaxed, PBE.

abc: 4.0747 4.0747 3.9052
angles: 90.00 90.00 120.00
Positions (direct):
Er (0.0000, 0.0000, 0.0000)
Si (0.3333, 0.6667, 0.5000)
Si (0.6667, 0.3333, 0.5000)

Computed properties:
energy relative to the elements, uncorrected	-0.487	eV/atom
total DFT energy (no corrections)	-16.9	eV/f.u.



2.
Nd3Tm3Mg: relaxed, PBE.

abc: 14.4177 14.4177 14.4177
angles: 24.86 24.86 24.86
Positions (direct):
Nd (0.1018, 0.4344, 0.7675)
Nd (0.2325, 0.8982, 0.5656)
Nd (0.4344, 0.7675, 0.1018)
Nd (0.5656, 0.2325, 0.8982)
Nd (0.7675, 0.1018, 0.4344)
Nd (0.8982, 0.5656, 0.2325)
Tm (0.0336, 0.6994, 0.3667)
Tm (0.3006, 0.6333, 0.9664)
Tm (0.3667, 0.0336, 0.6994)
Tm (0.6333, 0.9664, 0.3006)
Tm (0.6994, 0.3667, 0.0336)
Tm (0.9664, 0.3006, 0.6333)
Mg (0.1667, 0.1667, 0.1667)
Mg (0.8333, 0.8333, 0.8333)

Computed properties:
calculated formation energy	7.9	kJ per mole of atoms
total DFT energy (no corrections)	-28.7	eV/f.u.



3.
SnBrN: relaxed, PBE.

abc: 8.9559 8.9559 8.9559
angles: 154.36 149.22 40.48
Positions (direct):
Sn (0.1143, 0.1143, 0.0000)
Sn (0.8857, 0.8857, 0.0000)
Br (0.3469, 0.3469, 0.0000)
Br (0.6531, 0.6531, 0.0000)
N (0.0000, 0.3458, 0.3458)
N (0.0000, 0.6542, 0.6542)

Computed properties:
energy relative to the elements, uncorrected	-0.079	eV/atom
total DFT energy (no corrections)	-14.2	eV/f.u.